(1)
This record from Alexandria via LeMat-Bulk describes ZrRe2Ag after structural relaxation. The functional is GGA-PBE.

Cell and atoms, written as CIF:
```
data_ZrRe2Ag
_chemical_formula_sum 'Zr1 Re2 Ag1'
_cell_length_a 2.757
_cell_length_b 4.824
_cell_length_c 5.158
_cell_angle_alpha 90.00
_cell_angle_beta 95.40
_cell_angle_gamma 90.00
_symmetry_space_group_name_H-M 'P 1 2/m 1'
_symmetry_Int_Tables_number 10
loop_
_symmetry_equiv_pos_as_xyz
'x,y,z'
'-x,-y,-z'
'-x,y,-z'
'x,-y,z'
loop_
_atom_site_label
_atom_site_fract_x
_atom_site_fract_y
_atom_site_fract_z
Zr1 0.000 0.000 0.000
Re1 0.303 0.500 0.759
Ag1 0.500 0.000 0.500
```

Computed properties:
- D(E_F) (states/eV/f.u.) = 3.24
- relative energy among the computed polymorphs (meV per atom) = 206
- formation energy from the elements (eV/atom) = 0.32

=====

(2)
This record from Alexandria via LeMat-Bulk describes NbPSCl2 after structural relaxation. The functional is GGA-PBE.

Cell and atoms, written as CIF:
```
data_NbPSCl2
_chemical_formula_sum 'Nb1 P1 S1 Cl2'
_cell_length_a 4.675
_cell_length_b 4.675
_cell_length_c 5.188
_cell_angle_alpha 90.00
_cell_angle_beta 90.00
_cell_angle_gamma 90.00
_symmetry_space_group_name_H-M 'P 4/m m m'
_symmetry_Int_Tables_number 123
_symmetry_space_group_name_Hall '-P 4 2'
loop_
_atom_site_label
_atom_site_fract_x
_atom_site_fract_y
_atom_site_fract_z
Nb1 0.000 0.000 0.000
P1 0.000 0.000 0.500
S1 0.500 0.500 0.500
Cl1 0.000 0.500 0.000
```

Computed properties:
- formation energy from raw total energies (eV per atom) = 0.1385
- D(E_F) (states/eV/f.u.) = 6.43
- relative energy among the computed polymorphs (meV per atom) = 103

=====

(3)
This record from Alexandria via LeMat-Bulk describes K3Tm2PaS6 after structural relaxation. The functional is GGA-PBE.

Cell and atoms, written as CIF:
```
data_K3Tm2PaS6
_chemical_formula_sum 'K6 Tm4 Pa2 S12'
_cell_length_a 6.945
_cell_length_b 12.028
_cell_length_c 7.743
_cell_angle_alpha 90.00
_cell_angle_beta 107.39
_cell_angle_gamma 90.00
_symmetry_space_group_name_H-M 'C 1 2/m 1'
_symmetry_Int_Tables_number 12
loop_
_symmetry_equiv_pos_as_xyz
'x,y,z'
'-x,-y,-z'
'-x,y,-z'
'x,-y,z'
'x+1/2,y+1/2,z'
'-x+1/2,-y+1/2,-z'
'-x+1/2,y+1/2,-z'
'x+1/2,-y+1/2,z'
loop_
_atom_site_label
_atom_site_fract_x
_atom_site_fract_y
_atom_site_fract_z
K1 0.000 0.000 0.000
K2 0.000 0.333 0.000
Tm1 0.000 0.167 0.500
Pa1 0.000 0.500 0.500
S1 0.232 0.000 0.702
S2 0.235 0.332 0.702
```

Computed properties:
- formation energy from raw total energies (eV per atom) = -1.7197
- D(E_F) (states/eV/f.u.) = 6.56

=====

(4)
This record from Alexandria via LeMat-Bulk describes Na4Sc3USe8 after structural relaxation. The functional is GGA-PBE.

Cell and atoms, written as CIF:
```
data_Na4Sc3USe8
_chemical_formula_sum 'Na12 Sc9 U3 Se24'
_cell_length_a 7.9964
_cell_length_b 7.9964
_cell_length_c 20.9802
_cell_angle_alpha 90.00
_cell_angle_beta 90.00
_cell_angle_gamma 120.00
_symmetry_space_group_name_H-M 'R -3 m'
_symmetry_Int_Tables_number 166
_symmetry_space_group_name_Hall '-R 3 2"'
loop_
_atom_site_label
_atom_site_fract_x
_atom_site_fract_y
_atom_site_fract_z
Na1 0.0000 0.0000 0.0000
Na2 0.0000 0.5000 0.0000
Sc1 0.0000 0.5000 0.5000
U1 0.0000 0.0000 0.5000
Se1 0.0000 0.0000 0.2390
Se2 0.0108 0.5054 0.7586
```

Computed properties:
- formation energy from raw total energies (eV per atom) = -1.4710
- D(E_F) (states/eV/f.u.) = 8.51